Entry 1:
Below is a relaxed structure of TaBiSb2Ru, with properties calculated at the PBE level.

The space group is P4/mmm (No. 123) and the conventional cell measures 5.381, 5.381 and 4.779 Å, with angles of 90.00, 90.00 and 90.00 degrees. The inequivalent atoms are Ta at (0.000, 0.000, 0.000), Bi at (0.500, 0.500, 0.500), Sb at (0.000, 0.500, 0.000) and Ru at (0.000, 0.000, 0.500).

Its density is 8.8 g cm⁻³. For the spin magnetization, the calculation gives 0.0 Bohr magnetons per cell. For the total energy, the calculation gives -5.80 eV per atom. Its raw formation energy is 0.85 eV/atom.

Entry 2:
Below is a relaxed structure of Mg2Ti2Ir3, with properties calculated at the PBE level.

The space group is C2/m (No. 12) and the conventional cell measures 7.612, 4.401 and 7.561 Å, with angles of 90.00, 109.69 and 90.00 degrees. The inequivalent atoms are Mg at (0.132, 0.000, 0.392), Ti at (0.118, 0.500, 0.856), Ir at (0.000, 0.000, 0.000) and Ir at (0.239, 0.500, 0.218).

Its density is 10.0 g cm⁻³. For the spin magnetization, the calculation gives 0.0 Bohr magnetons per cell. For the total energy, the calculation gives -7.13 eV per atom.